Version A
DFT (PBE-GGA) results for a geometry-optimized Ce3SmTc structure.

It has space group Pm-3m (No. 221), with a = 5.3721 Å, b = 5.3721 Å, c = 5.3721 Å, α = 90.00°, β = 90.00° and γ = 90.00°. The distinct sites, in fractional coordinates, are Ce at (0.0000, 0.0000, 0.5000), Sm at (0.5000, 0.5000, 0.5000) and Tc at (0.0000, 0.0000, 0.0000).

The calculation puts the total magnetic moment at 1.6 μB per formula unit. The crystal system is cubic.

Version B
DFT (PBE-GGA) results for a geometry-optimized Ce3SmTc structure.

It has space group P-1 (No. 2), with a = 3.4148 Å, b = 6.2162 Å, c = 11.9561 Å, α = 87.50°, β = 88.20° and γ = 75.58°. The distinct sites, in fractional coordinates, are Ce at (0.0668, 0.4230, 0.3217), Ce at (0.1548, 0.2210, 0.0368), Ce at (0.2854, 0.7814, 0.4952), Sm at (0.2469, 0.0453, 0.7621) and Tc at (0.4778, 0.5710, 0.1273).

The calculation puts the total magnetic moment at 0.0 μB per formula unit. The crystal system is triclinic.

Stability check: which of them is least stable? version A.

Version A
DFT (PBE-GGA) results for a geometry-optimized Ce2SmTe4 structure.

It has space group Cmcm (No. 63), with a = 4.3271 Å, b = 14.8254 Å, c = 15.3296 Å, α = 90.00°, β = 90.00° and γ = 90.00°. The distinct sites, in fractional coordinates, are Ce at (0.0000, 0.1349, 0.0687), Sm at (0.0000, 0.3775, 0.2500), Te at (0.0000, 0.0325, 0.2500), Te at (0.0000, 0.2191, 0.6260) and Te at (0.0000, 0.5000, 0.0000).

The calculation puts the total magnetic moment at 2.5 μB per formula unit. The crystal system is orthorhombic.

Version B
DFT (PBE-GGA) results for a geometry-optimized Ce2SmTe4 structure.

It has space group Imma (No. 74), with a = 8.9369 Å, b = 8.9578 Å, c = 12.5055 Å, α = 90.00°, β = 90.00° and γ = 90.00°. The distinct sites, in fractional coordinates, are Ce at (0.0000, 0.0000, 0.0000), Ce at (0.2500, 0.2500, 0.2500), Sm at (0.2500, 0.2500, 0.7500), Te at (0.0000, 0.0026, 0.7418) and Te at (0.2475, 0.2500, 0.5012).

The calculation puts the total magnetic moment at 2.2 μB per formula unit. The crystal system is orthorhombic.

Stability check: which of them is least stable? version A.